Entry 1:
{
  "formula": "HfGa2Pd",
  "functional": "GGA-PBE",
  "state": "relaxed",
  "volume_a3_per_atom": 17.2,
  "dft_energy_ry_per_atom": -0.4203,
  "lattice": [[0.000, 3.251, 3.251], [3.251, 0.000, 3.251], [3.251, 3.251, 0.000]],
  "species": ["Hf", "Ga", "Ga", "Pd"],
  "frac_coords": [[0.000, 0.000, 0.000], [0.250, 0.250, 0.250], [0.500, 0.500, 0.500], [0.750, 0.750, 0.750]]
}



Entry 2:
{
  "formula": "ReSiPd2",
  "functional": "GGA-PBE",
  "state": "relaxed",
  "volume_a3_per_atom": 14.3,
  "dft_energy_ry_per_atom": -0.5177,
  "lattice": [[0.000, 3.059, 3.059], [3.059, 0.000, 3.059], [3.059, 3.059, 0.000]],
  "species": ["Re", "Si", "Pd", "Pd"],
  "frac_coords": [[0.000, 0.000, 0.000], [0.750, 0.750, 0.750], [0.250, 0.250, 0.250], [0.500, 0.500, 0.500]]
}



Entry 3:
{
  "formula": "OsF4",
  "functional": "GGA-PBE",
  "state": "relaxed",
  "volume_a3_per_atom": 11.3,
  "dft_energy_ry_per_atom": -0.3803,
  "lattice": [[5.028, 0.000, 0.000], [0.000, 4.824, 0.000], [-2.550, 0.000, 4.649]],
  "species": ["Os", "Os", "F", "F", "F", "F", "F", "F", "F", "F"],
  "frac_coords": [[0.000, 0.000, 0.000], [0.000, 0.500, 0.500], [0.138, 0.151, 0.395], [0.138, 0.349, 0.895], [0.379, 0.667, 0.619], [0.379, 0.833, 0.119], [0.621, 0.167, 0.881], [0.621, 0.333, 0.381], [0.862, 0.651, 0.105], [0.862, 0.849, 0.605]]
}



Entry 4:
{
  "formula": "MgNpTe",
  "functional": "GGA-PBE",
  "state": "relaxed",
  "polymorph_energy_ev_per_atom": 0.000,
  "volume_a3_per_atom": 30.0,
  "lattice": [[0.000, 3.556, 3.556], [3.556, 0.000, 3.556], [3.556, 3.556, 0.000]],
  "species": ["Mg", "Np", "Te"],
  "frac_coords": [[0.000, 0.000, 0.000], [0.500, 0.500, 0.500], [0.250, 0.250, 0.250]]
}



Entry 5:
{
  "formula": "Er3Ni4Ge",
  "functional": "GGA-PBE",
  "state": "relaxed",
  "volume_a3_per_atom": 17.6,
  "dft_energy_ry_per_atom": -0.4058,
  "lattice": [[5.204, 0.000, 0.000], [0.000, 4.115, 0.000], [-0.318, 0.000, 6.574]],
  "species": ["Er", "Er", "Er", "Ni", "Ni", "Ni", "Ni", "Ge"],
  "frac_coords": [[0.000, 0.000, 0.000], [0.228, 0.000, 0.494], [0.504, 0.500, 0.861], [0.250, 0.500, 0.219], [0.534, 0.000, 0.178], [0.736, 0.000, 0.589], [0.987, 0.500, 0.692], [0.747, 0.500, 0.344]]
}



Entry 6:
{
  "formula": "MgSc4CdC2",
  "functional": "GGA-PBE",
  "state": "relaxed",
  "volume_a3_per_atom": 19.0,
  "dft_energy_ry_per_atom": -0.4536,
  "lattice": [[3.320, 0.000, 0.000], [-1.660, 2.875, 0.000], [0.000, 0.000, 15.884]],
  "species": ["Mg", "Sc", "Sc", "Sc", "Sc", "Cd", "C", "C"],
  "frac_coords": [[0.000, 0.000, 0.000], [0.000, 0.000, 0.333], [0.000, 0.000, 0.667], [0.667, 0.333, 0.178], [0.667, 0.333, 0.822], [0.667, 0.333, 0.500], [0.333, 0.667, 0.254], [0.333, 0.667, 0.746]]
}



Entry 7:
{
  "formula": "Cd2PdO3",
  "functional": "GGA-PBE",
  "state": "relaxed",
  "volume_a3_per_atom": 14.6,
  "dft_energy_ry_per_atom": -0.3012,
  "lattice": [[-1.494, 1.802, 8.120], [1.494, -1.802, 8.120], [1.494, 1.802, -8.120]],
  "species": ["Cd", "Cd", "Pd", "O", "O", "O"],
  "frac_coords": [[0.176, 0.176, 0.000], [0.824, 0.824, 0.000], [0.000, 0.000, 0.000], [0.319, 0.319, 0.000], [0.500, 0.000, 0.500], [0.681, 0.681, 0.000]]
}



Entry 8:
{
  "formula": "ErScPbC",
  "functional": "GGA-PBE",
  "state": "relaxed",
  "polymorph_energy_ev_per_atom": 0.000,
  "volume_a3_per_atom": 20.7,
  "lattice": [[3.504, 0.000, 0.000], [-1.752, 3.034, 0.000], [0.000, 0.000, 15.559]],
  "species": ["Er", "Er", "Sc", "Sc", "Pb", "Pb", "C", "C"],
  "frac_coords": [[0.333, 0.667, 0.000], [0.667, 0.333, 0.500], [0.333, 0.667, 0.339], [0.667, 0.333, 0.839], [0.333, 0.667, 0.674], [0.667, 0.333, 0.174], [0.000, 0.000, 0.415], [0.000, 0.000, 0.915]]
}